Below is a geometry-optimized KBeCuF6 structure, with properties calculated at the PBE level.

Computed properties:
**E_tot**: -4.5269 eV per atom
**Formation energy from raw total energies**: -2.29 eV/atom

CIF file:
```
data_KBeCuF6
_cell_length_a 4.9306
_cell_length_b 4.9306
_cell_length_c 5.8227
_cell_angle_alpha 90.00
_cell_angle_beta 90.00
_cell_angle_gamma 120.00
_symmetry_space_group_name_H-M 'P 3 1 2'
_symmetry_Int_Tables_number 149
loop_
_symmetry_equiv_pos_as_xyz
'x,y,z'
'-y,x-y,z'
'-x+y,-x,z'
'-y,-x,-z'
'-x+y,y,-z'
'x,x-y,-z'
loop_
_atom_site_label
_atom_site_type_symbol
_atom_site_fract_x
_atom_site_fract_y
_atom_site_fract_z
K1 K 0.0000 0.0000 0.0000
Be1 Be 0.6667 0.3333 0.5000
Cu1 Cu 0.3333 0.6667 0.5000
F1 F 0.3891 0.0236 0.6756
```